{"formula": "MnTcIr2", "functional": "PBE", "state": "relaxed", "lattice": [[4.0989, 0.0000, 0.0000], [0.0000, 2.7039, -0.0056], [0.0000, 1.3651, 4.9590]], "species": ["Ir", "Ir", "Mn", "Tc"], "fractional_positions": [[0.0000, 0.9516, 0.9715], [0.5000, 0.2928, 0.2899], [0.0000, 0.6940, 0.4869], [0.5000, 0.5616, 0.7517]], "total_magnetization_mub_per_fu": 0.00, "crystal_system": "orthorhombic", "volume_a3_per_fu": 55.0, "delta_e_f_ev_per_atom": -0.068, "dos_at_fermi_per_ev_cell": 3.27}

---

{"formula": "SbOsW2", "functional": "PBE", "state": "relaxed", "lattice": [[-2.2182, -3.2102, -3.2152], [0.3640, -2.1834, -4.5457], [2.1478, -3.9706, 1.1038]], "species": ["Os", "Sb", "W", "W"], "fractional_positions": [[0.7500, 0.7500, 0.7500], [0.2500, 0.2500, 0.2500], [0.0075, 0.0075, 0.9759], [0.4925, 0.4925, 0.5241]], "dft_energy_ev_per_cell": -39.44, "total_magnetization_mub_per_fu": 0.00, "crystal_system": "monoclinic", "volume_a3_per_fu": 67.6, "dos_at_fermi_per_ev_cell": 2.03}

---

{"formula": "Y7Ga2Ag2", "functional": "PBE", "state": "relaxed", "lattice": [[-5.3686, 3.6116, 1.6899], [-2.4938, -5.6492, 4.1512], [4.9200, 1.0634, 4.4027]], "species": ["Y", "Y", "Y", "Y", "Y", "Y", "Y", "Ga", "Ga", "Ag", "Ag"], "fractional_positions": [[0.0000, 0.2831, 0.4998], [0.4998, 0.7169, 0.0000], [0.0000, 0.7169, 0.5002], [0.5002, 0.2831, 0.0000], [0.0000, 0.0000, 0.0000], [0.4999, 0.7318, 0.5001], [0.5001, 0.2682, 0.4999], [0.8318, 0.5000, 0.8318], [0.1682, 0.5000, 0.1682], [0.7071, 0.9999, 0.2929], [0.2929, 0.0001, 0.7071]], "total_magnetization_mub_per_fu": 0.00, "crystal_system": "orthorhombic", "volume_a3_per_fu": 313.1, "delta_e_f_ev_per_atom": -0.059, "dos_at_fermi_per_ev_cell": 13.48}

---

{"formula": "AcCu2Pd2", "functional": "PBE", "state": "relaxed", "lattice": [[3.8359, -0.0004, -1.5413], [-0.6191, 3.7856, -1.5413], [0.3606, 0.4243, 6.4412]], "species": ["Ac", "Cu", "Cu", "Pd", "Pd"], "fractional_positions": [[0.5000, 0.0000, 0.5000], [0.2500, 0.2500, 0.0000], [0.7500, 0.7500, 0.0000], [0.8833, 0.3833, 0.2666], [0.1167, 0.6167, 0.7334]], "total_magnetization_mub_per_fu": 0.00, "crystal_system": "tetragonal", "volume_a3_per_fu": 98.6, "delta_e_f_ev_per_atom": -0.401, "dos_at_fermi_per_ev_cell": 1.57}

---

{"formula": "ReHg2W", "functional": "PBE", "state": "relaxed", "lattice": [[2.8864, -0.0090, 0.0000], [-1.2205, 2.6157, 0.0000], [0.0000, 0.0000, 10.1553]], "species": ["Hg", "Hg", "Re", "W"], "fractional_positions": [[0.0000, 0.0000, 0.9819], [0.5000, 0.5000, 0.2686], [0.0000, 0.0000, 0.5260], [0.5000, 0.5000, 0.7235]], "total_magnetization_mub_per_fu": 0.00, "crystal_system": "orthorhombic", "volume_a3_per_fu": 76.6, "delta_e_f_ev_per_atom": 0.541, "dos_at_fermi_per_ev_cell": 2.25}

---

{"formula": "LiCu2Cl5", "functional": "PBE", "state": "relaxed", "lattice": [[-2.4291, 0.1607, 6.2895], [6.3721, -8.0581, 2.6670], [8.8326, 8.0455, 3.2057]], "species": ["Li", "Li", "Li", "Li", "Cu", "Cu", "Cu", "Cu", "Cu", "Cu", "Cu", "Cu", "Cl", "Cl", "Cl", "Cl", "Cl", "Cl", "Cl", "Cl", "Cl", "Cl", "Cl", "Cl", "Cl", "Cl", "Cl", "Cl", "Cl", "Cl", "Cl", "Cl"], "fractional_positions": [[0.0000, 0.2544, 0.2573], [0.5000, 0.2456, 0.7573], [0.5000, 0.7544, 0.2427], [0.0000, 0.7456, 0.7427], [0.2480, 0.0000, 0.0000], [0.7520, 0.0000, 0.0000], [0.0000, 0.1168, 0.6153], [0.5000, 0.3832, 0.1153], [0.2520, 0.5000, 0.5000], [0.7480, 0.5000, 0.5000], [0.5000, 0.6168, 0.8847], [0.0000, 0.8832, 0.3847], [0.0000, 0.0703, 0.8903], [0.5000, 0.0616, 0.8847], [0.0000, 0.0884, 0.3836], [0.2519, 0.2508, 0.1237], [0.7481, 0.2508, 0.1237], [0.2481, 0.2492, 0.6237], [0.7519, 0.2492, 0.6237], [0.5000, 0.4116, 0.8836], [0.0000, 0.4384, 0.3847], [0.5000, 0.4297, 0.3903], [0.5000, 0.5703, 0.6097], [0.0000, 0.5616, 0.6153], [0.5000, 0.5884, 0.1164], [0.2481, 0.7508, 0.3763], [0.7519, 0.7508, 0.3763], [0.2519, 0.7492, 0.8763], [0.7481, 0.7492, 0.8763], [0.0000, 0.9116, 0.6164], [0.5000, 0.9384, 0.1153], [0.0000, 0.9297, 0.1097]], "dft_energy_ev_per_cell": -101.27, "total_magnetization_mub_per_fu": 1.94, "crystal_system": "orthorhombic", "volume_a3_per_fu": 221.4, "dos_at_fermi_per_ev_cell": 13.09}

---

{"formula": "FeReH2", "functional": "PBE", "state": "relaxed", "lattice": [[3.9774, 0.0000, 0.0000], [0.0000, 3.9774, 0.0000], [1.9887, 1.9887, 4.0168]], "species": ["Re", "Re", "Fe", "Fe", "H", "H", "H", "H"], "fractional_positions": [[0.0000, 0.0000, 0.0000], [0.7500, 0.2500, 0.5000], [0.5000, 0.5000, 0.0000], [0.2500, 0.7500, 0.5000], [0.5835, 0.1250, 0.2500], [0.1665, 0.6250, 0.2500], [0.3750, 0.4165, 0.7500], [0.8750, 0.8335, 0.7500]], "dft_energy_ev_per_cell": -53.17, "total_magnetization_mub_per_fu": 1.19, "crystal_system": "tetragonal", "volume_a3_per_fu": 31.8, "dos_at_fermi_per_ev_cell": 4.82}

---

{"formula": "Cr3Pb2", "functional": "PBE", "state": "relaxed", "lattice": [[11.2141, -1.5862, 0.0163], [11.2141, 1.5862, 0.0163], [10.9858, 0.0000, 2.7541]], "species": ["Cr", "Cr", "Cr", "Pb", "Pb"], "fractional_positions": [[0.0000, 0.0000, 0.0000], [0.8127, 0.8127, 0.8127], [0.1873, 0.1873, 0.1873], [0.4064, 0.4064, 0.4064], [0.5936, 0.5936, 0.5936]], "total_magnetization_mub_per_fu": 4.33, "crystal_system": "trigonal", "volume_a3_per_fu": 97.4, "delta_e_f_ev_per_atom": 0.747, "dos_at_fermi_per_ev_cell": 3.53}